A plane-wave DFT calculation with PBE-GGA was carried out for PmDy3Ho5 after structural relaxation.

abc: 17.2148 6.1661 11.1986
angles: 90.00 90.28 90.00
Last column: nearest neighbours and their distance in Å.
Space group C2/c (No. 15)
Symmetry-distinct sites (fractional):
Pm 0.0000 0.1195 0.2500 [4 per cell]  2 Dy 2.90, 1 Ho 2.92
Dy 0.0000 0.0000 0.0000 [4 per cell]  2 Pm 2.90
Dy 0.1650 0.2763 0.0845 [8 per cell]  5 Ho 3.35-3.70, 2 Dy 3.44-3.51, 1 Pm 3.53
Ho 0.0000 0.4064 0.7500 [4 per cell]  2 Pm 2.92-3.24, 2 Ho 3.23
Ho 0.1651 0.2745 0.4143 [8 per cell]  4 Ho 3.35-3.72, 3 Dy 3.36-3.69, 1 Pm 3.51
Ho 0.1727 0.2032 0.7492 [8 per cell]  3 Ho 3.23-3.48, 2 Dy 3.35-3.49, 1 Pm 3.58

Values from the calculation:
ΔE_f in kJ per mole of atoms: 31.3